Entry from Alexandria: a relaxed Dy3Ho7Sc crystal (PBE).

Output
Relative energy among the computed polymorphs (meV/atom): 38
Calculated formation energy (eV/atom): 0.194
Magnetization (Bohr magnetons per cell): 0.00
Total DFT energy (no corrections) (eV/atom): -4.55

Structure (POSCAR):
```
Dy3Ho7Sc
1.0
-3.146 4.811 6.243
3.402 -3.853 4.683
3.053 5.598 -2.775
Dy Ho Sc
3 7 1
direct
0.781 0.499 0.501 Dy
0.781 0.499 0.998 Dy
0.781 0.002 0.501 Dy
0.120 0.168 0.832 Ho
0.120 0.168 0.337 Ho
0.120 0.667 0.333 Ho
0.449 0.832 0.168 Ho
0.449 0.336 0.168 Ho
0.449 0.832 0.664 Ho
0.120 0.663 0.832 Ho
0.446 0.333 0.667 Sc
```

---

Entry from Alexandria: a relaxed DyHo2Sc6 crystal (PBE).

Output
Relative energy among the computed polymorphs (meV/atom): 10
Calculated formation energy (eV/atom): 0.075
Magnetization (Bohr magnetons per cell): 1.23
Total DFT energy (no corrections) (eV/atom): -5.67

Structure (POSCAR):
```
DyHo2Sc6
1.0
1.696 -2.937 0.000
1.696 2.937 0.000
0.000 0.000 24.341
Dy Ho Sc
1 2 6
direct
0.000 0.000 0.000 Dy
0.333 0.667 0.328 Ho
0.333 0.667 0.672 Ho
0.333 0.667 0.888 Sc
0.000 0.000 0.438 Sc
0.000 0.000 0.784 Sc
0.000 0.000 0.216 Sc
0.000 0.000 0.562 Sc
0.333 0.667 0.112 Sc
```

---

Entry from Alexandria: a relaxed Dy3Ho2Sc8 crystal (PBE).

Output
Calculated formation energy (eV/atom): 0.252
Magnetization (Bohr magnetons per cell): 0.00
Total DFT energy (no corrections) (eV/atom): -5.41

Structure (POSCAR):
```
Dy3Ho2Sc8
1.0
6.577 0.000 -0.743
0.000 8.652 0.000
-3.652 -4.326 6.916
Dy Ho Sc
3 2 8
direct
0.500 0.000 0.000 Dy
0.000 0.182 0.000 Dy
0.000 0.818 0.000 Dy
0.540 0.232 0.465 Ho
0.460 0.768 0.535 Ho
0.895 0.570 0.139 Sc
0.105 0.430 0.861 Sc
0.993 0.195 0.389 Sc
0.007 0.805 0.611 Sc
0.418 0.563 0.759 Sc
0.418 0.196 0.759 Sc
0.582 0.804 0.241 Sc
0.582 0.437 0.241 Sc
```

---

Entry from Alexandria: a relaxed Dy2Ho6Sc3 crystal (PBE).

Output
Calculated formation energy (eV/atom): 0.045
Magnetization (Bohr magnetons per cell): 0.00
Total DFT energy (no corrections) (eV/atom): -5.02

Structure (POSCAR):
```
Dy2Ho6Sc3
1.0
3.463 0.000 0.212
1.725 3.003 0.212
-0.154 -0.089 30.835
Dy Ho Sc
2 6 3
direct
0.547 0.547 0.359 Dy
0.453 0.453 0.641 Dy
0.912 0.912 0.264 Ho
0.088 0.088 0.736 Ho
0.818 0.818 0.547 Ho
0.182 0.182 0.453 Ho
0.637 0.637 0.088 Ho
0.363 0.363 0.912 Ho
0.000 0.000 0.000 Sc
0.725 0.725 0.824 Sc
0.275 0.275 0.176 Sc
```

---

Entry from Alexandria: a relaxed DyHo2Sc crystal (PBE).

Output
Relative energy among the computed polymorphs (meV/atom): 5
Calculated formation energy (eV/atom): 0.034
Magnetization (Bohr magnetons per cell): 0.00
Total DFT energy (no corrections) (eV/atom): -4.99

Structure (POSCAR):
```
DyHo2Sc
1.0
3.502 0.000 0.000
1.751 3.033 0.000
1.751 1.011 11.105
Dy Ho Sc
1 2 1
direct
0.500 0.500 0.499 Dy
0.081 0.081 0.758 Ho
0.253 0.253 0.242 Ho
0.666 0.666 0.001 Sc
```

---

Entry from Alexandria: a relaxed DyHo6Sc12 crystal (PBE).

Output
Calculated formation energy (eV/atom): 0.158
Magnetization (Bohr magnetons per cell): 0.00
Total DFT energy (no corrections) (eV/atom): -5.53

Structure (POSCAR):
```
DyHo6Sc12
1.0
7.909 1.230 1.474
0.017 8.004 1.474
0.017 0.020 8.139
Dy Ho Sc
1 6 12
direct
0.000 0.000 0.000 Dy
0.761 0.761 0.165 Ho
0.835 0.239 0.239 Ho
0.239 0.835 0.239 Ho
0.239 0.239 0.835 Ho
0.165 0.761 0.761 Ho
0.761 0.165 0.761 Ho
0.806 0.493 0.493 Sc
0.493 0.806 0.493 Sc
0.493 0.493 0.806 Sc
0.194 0.507 0.507 Sc
0.507 0.194 0.507 Sc
0.507 0.507 0.194 Sc
0.138 0.138 0.486 Sc
0.862 0.514 0.862 Sc
0.514 0.862 0.862 Sc
0.862 0.862 0.514 Sc
0.138 0.486 0.138 Sc
0.486 0.138 0.138 Sc
```

---

Entry from Alexandria: a relaxed Dy4HoSc2 crystal (PBE).

Output
Relative energy among the computed polymorphs (meV/atom): 286
Calculated formation energy (eV/atom): 0.307
Magnetization (Bohr magnetons per cell): 0.00
Total DFT energy (no corrections) (eV/atom): -4.79

Structure (POSCAR):
```
Dy4HoSc2
1.0
-5.833 -1.626 4.867
4.583 1.118 5.872
-1.932 7.280 0.122
Dy Ho Sc
8 2 4
direct
0.268 0.242 0.257 Dy
0.732 0.243 0.258 Dy
0.268 0.757 0.742 Dy
0.732 0.758 0.743 Dy
0.732 0.758 0.258 Dy
0.732 0.242 0.742 Dy
0.268 0.758 0.258 Dy
0.268 0.242 0.742 Dy
0.500 0.500 0.000 Ho
0.000 0.500 0.000 Ho
0.000 0.000 0.000 Sc
0.000 0.000 0.500 Sc
0.000 0.500 0.500 Sc
0.500 0.000 0.500 Sc
```

---

Entry from Alexandria: a relaxed Dy2Ho5Sc4 crystal (PBE).

Output
Relative energy among the computed polymorphs (meV/atom): 60
Calculated formation energy (eV/atom): 0.170
Magnetization (Bohr magnetons per cell): 0.00
Total DFT energy (no corrections) (eV/atom): -5.05

Structure (POSCAR):
```
Dy2Ho5Sc4
1.0
3.386 0.000 0.000
0.000 8.629 0.000
-1.693 -4.315 11.201
Dy Ho Sc
2 5 4
direct
0.269 0.269 0.539 Dy
0.731 0.731 0.461 Dy
0.859 0.060 0.719 Ho
0.859 0.659 0.719 Ho
0.141 0.341 0.281 Ho
0.141 0.940 0.281 Ho
0.500 0.000 0.000 Ho
0.000 0.321 0.000 Sc
0.594 0.594 0.189 Sc
0.000 0.679 0.000 Sc
0.406 0.406 0.811 Sc
```